VASP calculation (PBE) on a relaxed structure of SrMnRe.

Values from the calculation:
The energy comes out at -19.14 eV/f.u.

Cell lengths 6.5366, 6.5366, 6.5366 Å; angles 90.00, 90.00, 90.00 degrees
Space group F-43m (No. 216)
Asymmetric unit:
Sr 0.0000 0.0000 0.0000 (multiplicity 4)
Mn 0.0000 0.0000 0.5000 (multiplicity 4)
Re 0.2500 0.2500 0.2500 (multiplicity 4)